# Li3Ac2TbSn4

A relaxed structure of Li3Ac2TbSn4 (PBE, Alexandria).

Unit cell a=4.727 b=4.727 c=12.156 alpha=90.00 beta=90.00 gamma=90.00
Space group P-4m2 (No. 115)
Unique sites:
Li 0.000 0.000 0.000 x1
Li 0.000 0.500 0.623 x2
Ac 0.000 0.500 0.272 x2
Tb 0.500 0.500 0.000 x1
Sn 0.000 0.000 0.500 x1
Sn 0.000 0.500 0.845 x2
Sn 0.500 0.500 0.500 x1

For the total magnetization, the calculation gives 0.0 μB/f.u. As for the energy of formation: -0.61 eV per atom. As for the density of states at the Fermi level: 0.1834 states/eV per atom.